Compound: CoRuO
Source: Alexandria
Functional: PBE with a Hubbard U
Structure: relaxed

Energy above the most stable polymorph in this dataset, meV/atom: 15
Raw total energy, eV/cell: -39.6
Space-group type: Cm

a b c (Å): 4.7666 4.7666 5.7162
angles (deg): 98.21 98.21 33.82
With the nearest neighbours (Å) after each atom.
Positions (direct):
Co 0.0000 0.0000 0.0000  2 O 1.91-1.99
Co 0.2468 0.2468 0.6397  3 O 1.99-2.00
Ru 0.4969 0.4969 0.4025  2 O 2.02
Ru 0.7433 0.7433 0.2296  1 O 2.06
O 0.0302 0.0302 0.6624  2 Co 1.99-2.00, 2 Ru 2.02
O 0.7915 0.7915 0.8894  3 Co 1.91-1.99, 1 Ru 2.06